Material: K3PmSc2S6
Method: DFT, GGA-PBE
State: optimized geometry

Geometry as CIF:
```
data_K3PmSc2S6
_cell_length_a 6.846
_cell_length_b 11.861
_cell_length_c 7.683
_cell_angle_alpha 90.00
_cell_angle_beta 107.34
_cell_angle_gamma 90.00
_symmetry_space_group_name_H-M 'C 1 2/m 1'
_symmetry_Int_Tables_number 12
loop_
_symmetry_equiv_pos_as_xyz
'x,y,z'
'-x,-y,-z'
'-x,y,-z'
'x,-y,z'
'x+1/2,y+1/2,z'
'-x+1/2,-y+1/2,-z'
'-x+1/2,y+1/2,-z'
'x+1/2,-y+1/2,z'
loop_
_atom_site_label
_atom_site_fract_x
_atom_site_fract_y
_atom_site_fract_z
K1 0.000 0.000 0.000
K2 0.000 0.336 0.000
Pm1 0.000 0.500 0.500
Sc1 0.000 0.167 0.500
S1 0.213 0.000 0.696
S2 0.242 0.324 0.697
```

## Properties
* energy relative to the elements, uncorrected: -1.78 eV/atom
* calculated density: 3.04 g/cm³